# Sn2Se2Br, relaxed, DFT PBE
# relative energy among the computed polymorphs = 0.00 eV/f.u.
# final energy = -38.01 eV per cell
# crystal system = orthorhombic
# E_form (uncorrected) = -2.4 eV/f.u.
data_Sn2Se2Br
_chemical_formula_sum 'Sn4 Se4 Br2'
_space_group_name_H-M_alt 'P m m n'
_space_group_IT_number 59
_cell_length_a 4.1691
_cell_length_b 5.7749
_cell_length_c 12.7833
_cell_angle_alpha 90.00
_cell_angle_beta 90.00
_cell_angle_gamma 90.00
loop_
_space_group_symop_operation_xyz
'x,y,z'
'-x,-y,-z'
'-x+1/2,-y+1/2,z'
'x+1/2,y+1/2,-z'
'x+1/2,-y,-z'
'-x+1/2,y,z'
'-x,y+1/2,-z'
'x,-y+1/2,z'
loop_
_atom_site_label
_atom_site_fract_x
_atom_site_fract_y
_atom_site_fract_z
Sn1 0.2500 0.2500 0.0968
Sn2 0.2500 0.2500 0.7418
Se1 0.2500 0.7500 0.0854
Se2 0.2500 0.7500 0.7517
Br1 0.2500 0.7500 0.4091

---

# Sn3SeBr, relaxed, DFT PBE
# relative energy among the computed polymorphs = 0.00 eV/f.u.
# final energy = -15.80 eV per cell
# crystal system = cubic
# E_form (uncorrected) = 1.4 eV/f.u.
data_Sn3SeBr
_chemical_formula_sum 'Sn3 Se1 Br1'
_space_group_name_H-M_alt 'P m -3 m'
_space_group_IT_number 221
_space_group_name_Hall '-P 4 2 3'
_cell_length_a 5.6749
_cell_length_b 5.6749
_cell_length_c 5.6749
_cell_angle_alpha 90.00
_cell_angle_beta 90.00
_cell_angle_gamma 90.00
loop_
_atom_site_label
_atom_site_fract_x
_atom_site_fract_y
_atom_site_fract_z
Sn1 0.0000 0.0000 0.5000
Se1 0.0000 0.0000 0.0000
Br1 0.5000 0.5000 0.5000